{
  "formula": "Na2AlP2Pd5",
  "functional": "PBE-GGA",
  "state": "optimized geometry",
  "spacegroup": "P4/mbm, No. 127",
  "mass_density_g_cm3": 6.764,
  "delta_e_f_ev_per_atom": -0.518,
  "cell": [[3.106, 0.000, 0.000], [0.000, 10.268, 0.000], [0.000, 0.000, 10.268]],
  "species": ["Al", "P", "Pd", "Al", "Pd", "Pd", "Pd", "P", "Na", "Pd", "Pd", "Na", "Na", "P", "Pd", "Pd", "Pd", "P", "Pd", "Na"],
  "frac_coords": [[0.000, 0.500, 0.500], [0.000, 0.130, 0.630], [0.500, 0.299, 0.559], [0.000, 0.000, 0.000], [0.500, 0.559, 0.701], [0.500, 0.059, 0.799], [0.500, 0.701, 0.441], [0.000, 0.870, 0.370], [0.000, 0.325, 0.825], [0.500, 0.201, 0.059], [0.500, 0.500, 0.000], [0.000, 0.175, 0.325], [0.000, 0.675, 0.175], [0.000, 0.630, 0.870], [0.500, 0.799, 0.941], [0.500, 0.000, 0.500], [0.500, 0.441, 0.299], [0.000, 0.370, 0.130], [0.500, 0.941, 0.201], [0.000, 0.825, 0.675]]
}

{
  "formula": "Cr2OsRu",
  "functional": "PBE-GGA",
  "state": "optimized geometry",
  "e_above_lowest_polymorph_kcal_per_mol_atoms": 1.56,
  "spacegroup": "R-3m, No. 166",
  "mass_density_g_cm3": 12.479,
  "delta_e_f_ev_per_atom": 0.162,
  "cell": [[-4.528, -7.349, 1.321], [-2.520, -8.360, -0.098], [-2.265, -8.046, 2.529]],
  "species": ["Os", "Cr", "Cr", "Ru"],
  "frac_coords": [[0.250, 0.250, 0.250], [0.500, 0.500, 0.500], [0.000, 0.000, 0.000], [0.750, 0.750, 0.750]]
}

{
  "formula": "La4Pt2I",
  "functional": "PBE-GGA",
  "state": "optimized geometry",
  "e_form_raw_mev_per_atom": -1012,
  "spacegroup": "R-3m, No. 166",
  "mass_density_g_cm3": 7.423,
  "cell": [[-2.695, 0.394, -3.326], [0.404, -2.584, -3.412], [-10.076, -10.599, 4.129]],
  "species": ["La", "I", "Pt", "La", "La", "Pt", "La"],
  "frac_coords": [[0.127, 0.127, 0.619], [0.000, 0.000, 0.000], [0.426, 0.426, 0.723], [0.724, 0.724, 0.828], [0.873, 0.873, 0.381], [0.574, 0.574, 0.277], [0.276, 0.276, 0.172]]
}

{
  "formula": "SmMgAgAu",
  "functional": "PBE-GGA",
  "state": "optimized geometry",
  "spacegroup": "F-43m, No. 216",
  "mass_density_g_cm3": 9.058,
  "delta_e_f_ev_per_atom": -0.523,
  "cell": [[-1.868, 3.121, 3.418], [-3.507, -1.587, 3.177], [1.106, -0.632, 4.826]],
  "species": ["Mg", "Ag", "Sm", "Au"],
  "frac_coords": [[0.500, 0.500, 0.500], [0.250, 0.250, 0.250], [0.000, 0.000, 0.000], [0.750, 0.750, 0.750]]
}

{
  "formula": "K2BeCu2",
  "functional": "PBE-GGA",
  "state": "optimized geometry",
  "e_above_lowest_polymorph_kcal_per_mol_atoms": 0.00,
  "spacegroup": "P4/mbm, No. 127",
  "mass_density_g_cm3": 3.221,
  "delta_e_f_ev_per_atom": 0.574,
  "cell": [[6.289, 0.000, 0.000], [0.000, 6.289, 0.000], [0.000, 0.000, 5.587]],
  "species": ["K", "K", "Be", "Be", "Cu", "Cu", "K", "Cu", "K", "Cu"],
  "frac_coords": [[0.180, 0.680, 0.500], [0.320, 0.180, 0.500], [0.500, 0.500, 0.000], [0.000, 0.000, 0.000], [0.649, 0.149, 0.000], [0.851, 0.649, 0.000], [0.680, 0.820, 0.500], [0.149, 0.351, 0.000], [0.820, 0.320, 0.500], [0.351, 0.851, 0.000]]
}

{
  "formula": "K2ZnIn2",
  "functional": "PBE-GGA",
  "state": "optimized geometry",
  "e_above_lowest_polymorph_kcal_per_mol_atoms": 0.00,
  "spacegroup": "P4/mbm, No. 127",
  "mass_density_g_cm3": 3.675,
  "delta_e_f_ev_per_atom": 0.024,
  "cell": [[7.481, 0.000, 0.000], [0.000, 7.481, 0.000], [0.000, 0.000, 6.027]],
  "species": ["K", "K", "Zn", "In", "In", "K", "In", "K", "In", "Zn"],
  "frac_coords": [[0.178, 0.678, 0.500], [0.322, 0.178, 0.500], [0.000, 0.000, 0.000], [0.360, 0.860, 0.000], [0.640, 0.140, 0.000], [0.822, 0.322, 0.500], [0.860, 0.640, 0.000], [0.678, 0.822, 0.500], [0.140, 0.360, 0.000], [0.500, 0.500, 0.000]]
}

{
  "formula": "InMo2Cl",
  "functional": "PBE-GGA",
  "state": "optimized geometry",
  "e_form_raw_mev_per_atom": 420,
  "e_above_lowest_polymorph_kcal_per_mol_atoms": 6.89,
  "spacegroup": "Pm, No. 6",
  "mass_density_g_cm3": 7.701,
  "cell": [[-0.731, -0.340, 4.407], [-2.880, -0.312, -0.502], [-0.750, -5.705, -0.565]],
  "species": ["Mo", "Cl", "In", "Mo"],
  "frac_coords": [[0.000, 0.030, 0.066], [0.000, 0.364, 0.414], [0.500, 0.686, 0.758], [0.500, 0.419, 0.262]]
}

{
  "formula": "NiSnN3",
  "functional": "PBE-GGA",
  "state": "optimized geometry",
  "e_form_raw_mev_per_atom": 1413,
  "spacegroup": "Pm-3m, No. 221",
  "mass_density_g_cm3": 6.819,
  "cell": [[3.766, 0.000, 0.000], [0.000, 3.766, 0.000], [0.000, 0.000, 3.766]],
  "species": ["Ni", "N", "N", "N", "Sn"],
  "frac_coords": [[0.000, 0.000, 0.000], [0.500, 0.000, 0.000], [0.000, 0.000, 0.500], [0.000, 0.500, 0.000], [0.500, 0.500, 0.500]]
}

{
  "formula": "LiPtBr4",
  "functional": "PBE-GGA",
  "state": "optimized geometry",
  "e_form_raw_mev_per_atom": -543,
  "spacegroup": "I-4, No. 82",
  "mass_density_g_cm3": 4.619,
  "cell": [[-5.371, -5.013, 0.335], [3.659, -4.238, -4.769], [2.479, 3.062, 4.852]],
  "species": ["Br", "Li", "Pt", "Br", "Br", "Br"],
  "frac_coords": [[0.336, 0.793, 0.033], [0.750, 0.250, 0.500], [0.500, 0.500, 0.000], [0.207, 0.303, 0.967], [0.697, 0.240, 0.033], [0.760, 0.664, 0.967]]
}

{
  "formula": "CsIn12Au6",
  "functional": "PBE-GGA",
  "state": "optimized geometry",
  "spacegroup": "R-3m, No. 166",
  "mass_density_g_cm3": 8.876,
  "delta_e_f_ev_per_atom": -0.184,
  "cell": [[8.047, -0.062, -2.104], [-2.711, 7.577, -2.104], [-0.044, -0.062, 8.318]],
  "species": ["In", "Au", "In", "In", "In", "In", "Cs", "Au", "Au", "In", "In", "Au", "In", "Au", "In", "In", "In", "Au", "In"],
  "frac_coords": [[0.126, 0.500, 0.874], [0.752, 0.310, 0.752], [0.874, 0.126, 0.500], [0.567, 0.567, 0.826], [0.500, 0.126, 0.874], [0.174, 0.433, 0.433], [0.000, 0.000, 0.000], [0.248, 0.690, 0.248], [0.310, 0.752, 0.752], [0.567, 0.826, 0.567], [0.874, 0.500, 0.126], [0.248, 0.248, 0.690], [0.433, 0.174, 0.433], [0.752, 0.752, 0.310], [0.126, 0.874, 0.500], [0.433, 0.433, 0.174], [0.500, 0.874, 0.126], [0.690, 0.248, 0.248], [0.826, 0.567, 0.567]]
}

{
  "formula": "NaPdI3",
  "functional": "PBE-GGA",
  "state": "optimized geometry",
  "e_form_raw_mev_per_atom": -523,
  "e_above_lowest_polymorph_kcal_per_mol_atoms": 0.00,
  "spacegroup": "P2_1/m, No. 11",
  "mass_density_g_cm3": 4.133,
  "cell": [[4.855, 0.000, 0.000], [0.000, 8.080, -0.512], [0.000, -3.129, 10.649]],
  "species": ["I", "I", "I", "I", "Pd", "Na", "I", "Na", "Pd", "I"],
  "frac_coords": [[0.750, 0.591, 0.657], [0.250, 0.907, 0.318], [0.250, 0.821, 0.938], [0.250, 0.409, 0.343], [0.250, 0.106, 0.149], [0.750, 0.747, 0.424], [0.750, 0.179, 0.062], [0.250, 0.253, 0.576], [0.750, 0.894, 0.851], [0.750, 0.093, 0.682]]
}